YMoS2Cl PBE-GGA optimized geometry; ΔE to the lowest computed polymorph = 0 meV per atom; D(E_F) = 3.46 states/eV per cell; formation energy (no corrections) = -0.54 eV/atom; symmetry = P4/mmm (123)
1.0
-2.948 -3.677 -0.816
3.687 -3.029 0.330
-0.755 -0.417 4.609
Y Cl S Mo
1 1 2 1
Cartesian
-0.008 -3.562 2.061
-0.377 -0.209 2.304
1.843 -1.514 0.165
-1.474 -1.839 -0.408
0.000 0.000 0.000

***

BaSr2P PBE-GGA optimized geometry; D(E_F) = 3.20 states/eV per cell; ΔE_f = -507 meV/atom; symmetry = Imm2 (44)
1.0
-1.988 2.527 8.189
1.988 -2.527 8.189
1.988 2.527 -8.189
P Ba Sr
1 1 2
Cartesian
0.000 2.527 4.147
0.000 0.000 9.707
1.988 0.000 4.100
0.000 0.000 14.801

***

BeAg3 PBE-GGA optimized geometry; D(E_F) = 3.61 states/eV per cell; ΔE_f = 119 meV/atom; symmetry = Pnma (62)
1.0
-1.987 -4.431 -1.786
3.739 -3.247 3.896
-5.405 0.249 5.394
Be Ag
4 12
Cartesian
0.810 -2.218 3.619
-4.463 -5.211 3.884
-1.860 -5.199 6.492
-1.793 -2.230 1.012
-0.030 -4.121 4.940
-4.179 -0.470 3.950
-2.809 -3.207 5.449
0.526 -6.959 3.554
-2.169 -5.859 4.138
-4.242 -5.763 6.206
-0.844 -4.222 2.055
2.043 -4.216 2.872
-1.484 -1.571 3.366
0.589 -1.666 1.298
-3.623 -3.308 2.563
-5.696 -3.213 4.632

***

ZnInHOs2 PBE-GGA optimized geometry; D(E_F) = 5.04 states/eV per cell; E_tot = -3.652 eV per atom; symmetry = P4/mmm (123)
1.0
4.617 0.000 0.000
0.000 4.877 0.000
0.000 0.000 4.617
Zn In Os H
1 1 2 1
Cartesian
0.000 0.000 0.000
0.000 2.438 0.000
2.309 0.000 0.000
0.000 0.000 2.309
2.309 2.438 2.309

***

LaCe2MgIn4 PBE-GGA optimized geometry; D(E_F) = 14.84 states/eV per cell; ΔE_f = -337 meV/atom; symmetry = R-3m (166)
1.0
-0.961 -5.252 -0.019
3.967 -3.443 0.955
-0.878 -2.586 9.250
In La Mg Ce
4 1 1 2
Cartesian
2.299 -8.578 4.297
1.751 -5.755 1.826
0.377 -5.527 8.360
-0.171 -2.704 5.889
0.000 0.000 0.000
1.064 -5.641 5.093
0.488 -2.813 2.757
1.640 -8.468 7.429

***

LaCr3 PBE-GGA optimized geometry; D(E_F) = 14.91 states/eV per cell; ΔE_f = 1089 meV/atom; symmetry = Pm-3n (223)
1.0
-0.389 -4.297 -2.804
4.677 0.859 -1.966
2.110 -2.697 3.841
La Cr
2 6
Cartesian
3.199 -3.067 -0.464
0.000 0.000 0.000
0.333 -2.823 -0.442
2.047 -2.793 -3.086
2.224 -1.134 1.429
4.563 -0.704 0.446
2.241 -0.645 -1.684
1.388 -4.171 1.479

***

CsSrSb PBE-GGA optimized geometry; D(E_F) = 10.51 states/eV per cell; formation energy (no corrections) = -0.55 eV/atom; symmetry = I4/mmm (139)
1.0
5.748 0.000 0.000
0.000 5.748 0.000
2.874 2.874 9.097
Cs Sb Sr
2 2 2
Cartesian
5.748 2.874 4.548
2.874 5.748 4.548
2.874 2.874 1.932
5.748 5.748 7.164
0.000 2.874 0.000
2.874 0.000 0.000

***

TcTeIr2 PBE-GGA optimized geometry; D(E_F) = 3.27 states/eV per cell; formation energy (no corrections) = 0.38 eV/atom; symmetry = Pmm2 (25)
1.0
2.922 0.000 0.000
0.000 3.748 0.000
0.000 0.000 6.083
Ir Tc Te
2 1 1
Cartesian
0.000 0.000 0.126
1.461 1.874 1.586
0.000 0.000 2.818
1.461 1.874 4.594